Record 1
Ti2BPt | PBE | relaxed

Output
As for the space-group type: I-42d. Its mass density is 8.83 g/cm3. As for the energy of formation: -62 kJ/mol of formula units.

a b c (Å): 7.0625 7.0625 4.5506
angles (deg): 90.00 90.00 90.00
Positions (direct):
1 Ti 0.1764 0.2500 0.1250
2 Ti 0.2500 0.6764 0.3750
3 Ti 0.2500 0.8236 0.8750
4 Ti 0.3236 0.2500 0.6250
5 Ti 0.6764 0.7500 0.6250
6 Ti 0.7500 0.1764 0.8750
7 Ti 0.7500 0.3236 0.3750
8 Ti 0.8236 0.7500 0.1250
9 B 0.0000 0.0000 0.0000
10 B 0.0000 0.5000 0.2500
11 B 0.5000 0.0000 0.7500
12 B 0.5000 0.5000 0.5000
13 Pt 0.0000 0.0000 0.5000
14 Pt 0.0000 0.5000 0.7500
15 Pt 0.5000 0.0000 0.2500
16 Pt 0.5000 0.5000 0.0000

=====

Record 2
Ti3BPt | PBE | relaxed

Output
As for the space-group type: Pm-3m. Its mass density is 5.45 g/cm3. As for the energy of formation: 518 kJ/mol of formula units. The energy above the most stable polymorph in this dataset is 7.60 eV per formula unit.

a b c (Å): 4.7399 4.7399 4.7399
angles (deg): 90.00 90.00 90.00
Positions (direct):
1 Ti 0.0000 0.0000 0.5000
2 Ti 0.0000 0.5000 0.0000
3 Ti 0.5000 0.0000 0.0000
4 B 0.5000 0.5000 0.5000
5 Pt 0.0000 0.0000 0.0000

=====

Record 3
Ti4BPt2 | PBE | relaxed

Output
As for the space-group type: I4/mmm. Its mass density is 8.65 g/cm3. As for the energy of formation: -314 kJ/mol of formula units.

a b c (Å): 4.1929 4.1929 12.9381
angles (deg): 90.00 90.00 90.00
Positions (direct):
1 Ti 0.0000 0.0000 0.1722
2 Ti 0.0000 0.0000 0.8278
3 Ti 0.0000 0.5000 0.0000
4 Ti 0.0000 0.5000 0.5000
5 Ti 0.5000 0.0000 0.0000
6 Ti 0.5000 0.0000 0.5000
7 Ti 0.5000 0.5000 0.3278
8 Ti 0.5000 0.5000 0.6722
9 B 0.0000 0.0000 0.0000
10 B 0.5000 0.5000 0.5000
11 Pt 0.0000 0.0000 0.3628
12 Pt 0.0000 0.0000 0.6372
13 Pt 0.5000 0.5000 0.1372
14 Pt 0.5000 0.5000 0.8628

=====

Record 4
Ti2B2Pt | PBE | relaxed

Output
As for the space-group type: I4/mmm. Its mass density is 8.52 g/cm3. As for the energy of formation: -130 kJ/mol of formula units. The energy above the most stable polymorph in this dataset is 3.13 eV per formula unit.

a b c (Å): 2.8399 2.8399 15.1049
angles (deg): 90.00 90.00 90.00
Positions (direct):
1 Ti 0.0000 0.0000 0.1263
2 Ti 0.0000 0.0000 0.8737
3 Ti 0.5000 0.5000 0.3737
4 Ti 0.5000 0.5000 0.6263
5 B 0.0000 0.5000 0.2500
6 B 0.0000 0.5000 0.7500
7 B 0.5000 0.0000 0.2500
8 B 0.5000 0.0000 0.7500
9 Pt 0.0000 0.0000 0.5000
10 Pt 0.5000 0.5000 0.0000

=====

Record 5
TiBPt3 | PBE | relaxed

Output
As for the space-group type: Pm-3m. Its mass density is 14.25 g/cm3. As for the energy of formation: -126 kJ/mol of formula units. The energy above the most stable polymorph in this dataset is 0.00 eV per formula unit.

a b c (Å): 4.2178 4.2178 4.2178
angles (deg): 90.00 90.00 90.00
Positions (direct):
1 Ti 0.0000 0.0000 0.0000
2 B 0.5000 0.5000 0.5000
3 Pt 0.0000 0.5000 0.5000
4 Pt 0.5000 0.0000 0.5000
5 Pt 0.5000 0.5000 0.0000

=====

Record 6
Ti2B2Pt | PBE | relaxed

Output
As for the space-group type: P4/mbm. Its mass density is 9.07 g/cm3. As for the energy of formation: -432 kJ/mol of formula units. The energy above the most stable polymorph in this dataset is 0.00 eV per formula unit.

a b c (Å): 5.6736 5.6736 3.5525
angles (deg): 90.00 90.00 90.00
Positions (direct):
1 Ti 0.1727 0.3273 0.0000
2 Ti 0.3273 0.8273 0.0000
3 Ti 0.6727 0.1727 0.0000
4 Ti 0.8273 0.6727 0.0000
5 B 0.1134 0.6134 0.5000
6 B 0.3866 0.1134 0.5000
7 B 0.6134 0.8866 0.5000
8 B 0.8866 0.3866 0.5000
9 Pt 0.0000 0.0000 0.5000
10 Pt 0.5000 0.5000 0.5000

=====

Record 7
TiB2Pt2 | PBE | relaxed

Output
As for the space-group type: I4/mmm. Its mass density is 11.77 g/cm3. As for the energy of formation: -111 kJ/mol of formula units.

a b c (Å): 3.8752 3.8752 8.6364
angles (deg): 90.00 90.00 90.00
Positions (direct):
1 Ti 0.0000 0.0000 0.0000
2 Ti 0.5000 0.5000 0.5000
3 B 0.0000 0.5000 0.2500
4 B 0.0000 0.5000 0.7500
5 B 0.5000 0.0000 0.2500
6 B 0.5000 0.0000 0.7500
7 Pt 0.0000 0.0000 0.3530
8 Pt 0.0000 0.0000 0.6470
9 Pt 0.5000 0.5000 0.1470
10 Pt 0.5000 0.5000 0.8530

=====

Record 8
Ti2B2Pt | PBE | relaxed

Output
As for the space-group type: P4/mbm. Its mass density is 8.30 g/cm3. As for the energy of formation: 72 kJ/mol of formula units. The energy above the most stable polymorph in this dataset is 5.22 eV per formula unit.

a b c (Å): 6.8258 6.8258 2.6825
angles (deg): 90.00 90.00 90.00
Positions (direct):
1 Ti 0.1368 0.3632 0.0000
2 Ti 0.3632 0.8632 0.0000
3 Ti 0.6368 0.1368 0.0000
4 Ti 0.8632 0.6368 0.0000
5 B 0.1707 0.6707 0.5000
6 B 0.3293 0.1707 0.5000
7 B 0.6707 0.8293 0.5000
8 B 0.8293 0.3293 0.5000
9 Pt 0.0000 0.0000 0.0000
10 Pt 0.5000 0.5000 0.0000

=====

Record 9
TiBPt3 | PBE | relaxed

Output
As for the space-group type: Pm-3m. Its mass density is 10.26 g/cm3. As for the energy of formation: 698 kJ/mol of formula units. The energy above the most stable polymorph in this dataset is 8.53 eV per formula unit.

a b c (Å): 4.7052 4.7052 4.7052
angles (deg): 90.00 90.00 90.00
Positions (direct):
1 Ti 0.0000 0.0000 0.0000
2 B 0.5000 0.5000 0.5000
3 Pt 0.0000 0.0000 0.5000
4 Pt 0.0000 0.5000 0.0000
5 Pt 0.5000 0.0000 0.0000

=====

Record 10
Ti3BPt | PBE | relaxed

Output
As for the space-group type: Pm-3m. Its mass density is 7.70 g/cm3. As for the energy of formation: -215 kJ/mol of formula units. The energy above the most stable polymorph in this dataset is 0.00 eV per formula unit.

a b c (Å): 4.2240 4.2240 4.2240
angles (deg): 90.00 90.00 90.00
Positions (direct):
1 Ti 0.0000 0.0000 0.5000
2 Ti 0.0000 0.5000 0.0000
3 Ti 0.5000 0.0000 0.0000
4 B 0.0000 0.0000 0.0000
5 Pt 0.5000 0.5000 0.5000

=====

Record 11
TiB3Pt | PBE | relaxed

Output
As for the space-group type: Pm-3m. Its mass density is 6.97 g/cm3. As for the energy of formation: 794 kJ/mol of formula units. The energy above the most stable polymorph in this dataset is 2.80 eV per formula unit.

a b c (Å): 4.0326 4.0326 4.0326
angles (deg): 90.00 90.00 90.00
Positions (direct):
1 Ti 0.0000 0.0000 0.0000
2 B 0.0000 0.0000 0.5000
3 B 0.0000 0.5000 0.0000
4 B 0.5000 0.0000 0.0000
5 Pt 0.5000 0.5000 0.5000

=====

Record 12
TiB3Pt | PBE | relaxed

Output
As for the space-group type: Pm-3m. Its mass density is 6.79 g/cm3. As for the energy of formation: 524 kJ/mol of formula units. The energy above the most stable polymorph in this dataset is 0.00 eV per formula unit.

a b c (Å): 4.0683 4.0683 4.0683
angles (deg): 90.00 90.00 90.00
Positions (direct):
1 Ti 0.0000 0.0000 0.0000
2 B 0.0000 0.5000 0.5000
3 B 0.5000 0.0000 0.5000
4 B 0.5000 0.5000 0.0000
5 Pt 0.5000 0.5000 0.5000

=====

Record 13
TiTl2BPt | PBE | relaxed

Output
As for the space-group type: P4/mmm. Its mass density is 11.05 g/cm3. As for the energy of formation: 261 kJ/mol of formula units.

a b c (Å): 4.9510 4.9510 4.0618
angles (deg): 90.00 90.00 90.00
Positions (direct):
1 Ti 0.0000 0.0000 0.0000
2 Tl 0.0000 0.5000 0.5000
3 Tl 0.5000 0.0000 0.5000
4 B 0.5000 0.5000 0.5000
5 Pt 0.5000 0.5000 0.0000